No. 1
Material: CeNd3Y7
Method: DFT, PBE
State: relaxed

Results
ΔH_f (0 K), eV per atom: 0.196
Crystal system: trigonal

a b c (Å): 8.740 7.121 7.121
angles (deg): 120.00 90.00 90.00
Each line ends with the local moment (μB).
Fractional coordinates of all 11 atoms:
Ce: 0.448 0.333 0.667  0.66
Nd: 0.781 0.498 0.502  0.00
Nd: 0.781 0.498 0.996  0.00
Nd: 0.781 0.004 0.502  0.00
Y: 0.121 0.169 0.831  0.01
Y: 0.121 0.169 0.337  0.01
Y: 0.120 0.667 0.333  0.00
Y: 0.448 0.833 0.167  0.02
Y: 0.448 0.334 0.167  0.02
Y: 0.448 0.833 0.666  0.02
Y: 0.121 0.663 0.831  0.01

***

No. 2
Material: PmEuOs4
Method: DFT, PBE
State: relaxed

Results
ΔH_f (0 K), eV per atom: 0.002
Crystal system: cubic

a b c (Å): 5.418 5.418 5.418
angles (deg): 60.00 60.00 60.00
Each line ends with the local moment (μB).
Fractional coordinates of all 6 atoms:
Eu: 0.000 0.000 0.000  6.59
Os: 0.625 0.625 0.125  -0.26
Os: 0.625 0.125 0.625  -0.26
Os: 0.625 0.625 0.625  -0.26
Os: 0.125 0.625 0.625  -0.26
Pm: 0.250 0.250 0.250  0.03

***

No. 3
Material: Cd5Fe3
Method: DFT, PBE
State: relaxed

Results
E above lowest polymorph, eV per formula unit: 1.58
ΔH_f (0 K), eV per atom: 0.433
Crystal system: hexagonal

a b c (Å): 7.943 7.945 5.324
angles (deg): 90.00 90.00 59.99
Each line ends with the local moment (μB).
Fractional coordinates of all 16 atoms:
Fe: 0.584 0.416 0.750  2.69
Fe: 0.416 0.584 0.250  2.69
Fe: 0.416 0.000 0.750  2.69
Fe: 0.000 0.416 0.250  2.69
Fe: 0.584 0.000 0.250  2.69
Fe: 0.000 0.584 0.750  2.69
Cd: 0.769 0.231 0.250  -0.03
Cd: 0.231 0.769 0.750  -0.03
Cd: 0.231 0.000 0.250  -0.03
Cd: 0.000 0.231 0.750  -0.03
Cd: 0.667 0.667 0.000  -0.05
Cd: 0.667 0.667 0.500  -0.05
Cd: 0.333 0.333 0.000  -0.05
Cd: 0.333 0.333 0.500  -0.05
Cd: 0.769 0.000 0.750  -0.03
Cd: 0.000 0.769 0.250  -0.03

***

No. 4
Material: BaSn2Bi
Method: DFT, PBE
State: relaxed

Results
ΔH_f (0 K), eV per atom: -0.331
Crystal system: trigonal

a b c (Å): 5.383 5.383 6.558
angles (deg): 65.77 65.77 60.00
Fractional coordinates of all 4 atoms:
Bi: 0.500 0.500 0.500
Sn: 0.786 0.786 0.641
Sn: 0.214 0.214 0.359
Ba: 0.000 0.000 0.000

***

No. 5
Material: Mn3InGe
Method: DFT, PBE
State: relaxed

Results
E above lowest polymorph, eV per formula unit: 3.19
ΔH_f (0 K), eV per atom: 1.190
Crystal system: cubic

a b c (Å): 4.983 4.983 4.983
angles (deg): 90.00 90.00 90.00
Each line ends with the local moment (μB).
Fractional coordinates of all 5 atoms:
Ge: 0.500 0.500 0.500  -0.24
Mn: 0.000 0.500 0.000  3.94
Mn: 0.000 0.000 0.500  4.16
Mn: 0.500 0.000 0.000  3.78
In: 0.000 0.000 0.000  -0.16

***

No. 6
Material: SbPAuBr2
Method: DFT, PBE
State: relaxed

Results
Energy relative to the elements, uncorrected, eV per atom: 0.595
Crystal system: tetragonal

a b c (Å): 5.255 4.871 5.255
angles (deg): 90.00 90.00 90.00
Fractional coordinates of all 5 atoms:
Sb: 0.500 0.500 0.500
Au: 0.000 0.000 0.000
Br: 0.000 0.000 0.500
Br: 0.500 0.000 0.000
P: 0.000 0.500 0.000